MgNi2Pd7: optimized geometry, PBE.

a b c (Å): 7.031 7.031 4.297
angles (deg): 90.00 90.00 118.48
Fractional positions:
1 Mg 0.000 0.000 0.000
2 Ni 0.301 0.699 0.500
3 Ni 0.699 0.301 0.500
4 Pd 0.070 0.304 0.500
5 Pd 0.216 0.784 0.000
6 Pd 0.304 0.070 0.500
7 Pd 0.500 0.500 0.500
8 Pd 0.696 0.930 0.500
9 Pd 0.784 0.216 0.000
10 Pd 0.930 0.696 0.500

Values from the calculation:
M_tot: 2.724 μB/f.u.
final energy: -4.6306 eV/atom